Below is a geometry-optimized TbDy2Ho6 structure, with properties calculated at the PBE-GGA level.

The space group is R3m (No. 160, hexagonal axes) and the conventional cell measures 6.9139, 6.9139 and 22.4571 Å, with angles of 90.00, 90.00 and 120.00 degrees. The asymmetric unit holds Tb at (0.0000, 0.0000, 0.0000), Dy at (0.0000, 0.0000, 0.5876), Dy at (0.0000, 0.0000, 0.7522), Ho at (0.0053, 0.5027, 0.5575) and Ho at (0.1703, 0.3405, 0.1101).

The energy of formation is 0.39 eV/atom. For the polymorph energy (0 for the lowest one), the calculation gives 375 meV/atom.

***

Below is a geometry-optimized Tb5Dy3Ho4 structure, with properties calculated at the PBE-GGA level.

The space group is P-1 (No. 2) and the conventional cell measures 6.1227, 7.0744 and 8.6537 Å, with angles of 90.04, 90.10 and 90.14 degrees. The asymmetric unit holds Tb at (0.0000, 0.0000, 0.0000), Tb at (0.3331, 0.5001, 0.3338), Tb at (0.5001, 0.2496, 0.9999), Dy at (0.0000, 0.5000, 0.0000), Dy at (0.1664, 0.2496, 0.6662), Ho at (0.1667, 0.7504, 0.6663) and Ho at (0.3336, 0.0001, 0.3338).

The energy of formation is 0.02 eV/atom. For the polymorph energy (0 for the lowest one), the calculation gives 0 meV/atom.

***

Below is a geometry-optimized TbDy4Ho3 structure, with properties calculated at the PBE-GGA level.

The space group is Pmn2_1 (No. 31) and the conventional cell measures 11.1864, 7.2292 and 6.2522 Å, with angles of 90.00, 90.00 and 90.00 degrees. The asymmetric unit holds Tb at (0.0000, 0.1250, 0.0000), Dy at (0.0000, 0.3749, 0.5001), Dy at (0.0000, 0.6254, 0.9992), Dy at (0.2495, 0.6252, 0.3326), Ho at (0.0000, 0.8756, 0.4997) and Ho at (0.2501, 0.1249, 0.3327).

The energy of formation is 0.01 eV/atom. For the polymorph energy (0 for the lowest one), the calculation gives 0 meV/atom.

***

Below is a geometry-optimized Tb5Dy2Ho12 structure, with properties calculated at the PBE-GGA level.

The space group is P-1 (No. 2) and the conventional cell measures 5.9778, 9.6213 and 11.1804 Å, with angles of 70.18, 82.55 and 88.76 degrees. The asymmetric unit holds Tb at (0.0000, 0.0000, 0.0000), Tb at (0.1020, 0.9615, 0.3443), Tb at (0.4956, 0.5473, 0.8315), Dy at (0.2829, 0.5670, 0.4197), Ho at (0.0390, 0.6867, 0.6561), Ho at (0.0782, 0.3139, 0.0443), Ho at (0.1643, 0.3169, 0.7277), Ho at (0.3844, 0.9059, 0.7871), Ho at (0.4244, 0.8191, 0.1047) and Ho at (0.4286, 0.1810, 0.4867).

The energy of formation is 0.12 eV/atom. For the polymorph energy (0 for the lowest one), the calculation gives 0 meV/atom.

***

Below is a geometry-optimized TbDyHo3 structure, with properties calculated at the PBE-GGA level.

The space group is P2_1/m (No. 11) and the conventional cell measures 3.5910, 11.4946 and 8.4171 Å, with angles of 90.00, 102.29 and 90.00 degrees. The asymmetric unit holds Tb at (0.1833, 0.2500, 0.3656), Dy at (0.4885, 0.7500, 0.9788), Ho at (0.1562, 0.7500, 0.3126) and Ho at (0.3472, 0.0004, 0.6947).

The energy of formation is 0.32 eV/atom. For the polymorph energy (0 for the lowest one), the calculation gives 266 meV/atom.

***

Below is a geometry-optimized Tb8DyHo6 structure, with properties calculated at the PBE-GGA level.

The space group is R-3 (No. 148, hexagonal axes) and the conventional cell measures 8.9864, 8.9864 and 20.4938 Å, with angles of 90.00, 90.00 and 120.00 degrees. The asymmetric unit holds Tb at (0.0000, 0.0000, 0.0769), Tb at (0.0814, 0.5532, 0.3078), Dy at (0.0000, 0.0000, 0.5000) and Ho at (0.0581, 0.2465, 0.2069).

The energy of formation is 0.13 eV/atom.